Record 1
The following is a DFT calculation (PBE) of a relaxed structure of SrLiAlCl6.

abc: 5.9142 6.7388 6.7388
angles: 120.00 90.00 90.00
Positions (direct):
Cl: 0.2652 0.7072 0.9836
Cl: 0.7348 0.7072 0.7236
Cl: 0.2652 0.0164 0.7236
Cl: 0.7348 0.2764 0.9836
Cl: 0.2652 0.2764 0.2928
Cl: 0.7348 0.0164 0.2928
Li: 0.0000 0.3333 0.6667
Al: 0.5000 0.0000 0.0000
Sr: 0.5000 0.6667 0.3333

## Properties
Space-group type: P312
DFT total energy (eV/atom): -3.8585


Record 2
The following is a DFT calculation (PBE) of a relaxed structure of MgMnCr2Se6.

abc: 6.4629 6.4631 6.8463
angles: 61.84 61.84 60.00
Last column: magnetic moment on the atom in μB.
Positions (direct):
Cr: 0.0142 0.0142 0.9576  2.98
Cr: 0.5079 0.5078 0.4766  2.90
Mg: 0.3142 0.3142 0.0572  0.01
Se: 0.8930 0.6244 0.2542  -0.12
Se: 0.4222 0.7357 0.7447  -0.11
Se: 0.7357 0.0975 0.7448  -0.11
Se: 0.0975 0.4221 0.7446  -0.11
Se: 0.6243 0.2285 0.2542  -0.12
Se: 0.2284 0.8930 0.2543  -0.12
Mn: 0.8242 0.8243 0.5271  3.29

## Properties
Space-group type: R3
DFT total energy (eV/atom): -5.6775


Record 3
The following is a DFT calculation (PBE) of a relaxed structure of Tb3PmSm2S6.

abc: 6.8742 6.8742 6.8977
angles: 99.53 99.53 120.18
Positions (direct):
Pm: 0.0000 0.0000 0.0000
S: 0.9137 0.5791 0.7413
S: 0.4209 0.0863 0.2587
S: 0.0863 0.4209 0.2587
S: 0.5791 0.9137 0.7413
S: 0.2485 0.2485 0.7417
S: 0.7515 0.7515 0.2583
Tb: 0.5000 0.5000 0.5000
Tb: 0.1661 0.8339 0.5000
Tb: 0.8339 0.1661 0.5000
Sm: 0.6666 0.3334 0.0000
Sm: 0.3334 0.6666 0.0000

## Properties
Space-group type: C2/m
DFT total energy (eV/atom): -6.4273


no.,formation energy without anion corrections (eV/atom),M_tot (μB/atom),mass density (g/cm3)
1,-1.81,0.00,2.4
2,-0.59,0.90,5.3
3,-2.02,0.00,7.0